The following is a GGA-PBE calculation of a relaxed LaSc2Be crystal, from Alexandria via LeMat-Bulk.

a b c (Å): 7.592 7.592 7.592
angles (deg): 127.97 127.97 76.67
Element x y z (fractional)
La (0.000, 0.000, 0.000)
La (0.750, 0.250, 0.500)
Sc (0.373, 0.625, 0.248)
Sc (0.375, 0.623, 0.748)
Sc (0.377, 0.125, 0.752)
Sc (0.875, 0.627, 0.252)
Be (0.250, 0.750, 0.500)
Be (0.500, 0.500, 0.000)

Summary:
**Total DFT energy (no corrections)**: -4.35 eV/atom
**M_tot**: 0.000 μB/atom
**Formation energy**: 0.977 eV/atom